# MoP3O9

MoP3O9 after structural relaxation (PBE with a Hubbard U, Alexandria via LeMat-Bulk).

magnetic moment	12.000	μB/cell
energy above the most stable polymorph in this dataset	0.005	eV per atom
electronic total energy	-380.44	eV per cell

CIF file:
```
data_MoP3O9
_chemical_formula_sum 'Mo4 P12 O36'
_symmetry_space_group_name_H-M 'C 1 c 1'
_symmetry_Int_Tables_number 9
_symmetry_space_group_name_Hall 'C -2yc'
_cell_length_a 13.831
_cell_length_b 6.708
_cell_length_c 9.852
_cell_angle_alpha 90.00
_cell_angle_beta 126.89
_cell_angle_gamma 90.00
loop_
_atom_site_label
_atom_site_fract_x
_atom_site_fract_y
_atom_site_fract_z
Mo1 0.000 0.239 0.000
P1 0.144 0.102 0.829
P2 0.244 0.433 0.736
P3 0.355 0.088 0.670
O1 0.041 0.124 0.838
O2 0.125 0.036 0.195
O3 0.153 0.428 0.100
O4 0.179 0.318 0.802
O5 0.266 0.049 0.009
O6 0.267 0.269 0.639
O7 0.360 0.485 0.388
O8 0.391 0.024 0.326
O9 0.454 0.162 0.663
```